A plane-wave DFT calculation with PBE was carried out for a relaxed structure of SrPtBr6.

Properties
- Calculated volume: 32.745 Å³ per atom
- Total magnetization: 0.0 μB per cell
- DFT total energy: -50.818 eV for the cell shown
- Theoretical density: 4.8 g cm⁻³
- Energy above the most stable polymorph in this dataset: 0.0 meV per atom

Lattice parameters (Å, degrees): 7.0850 7.0850 10.8298 90.13 90.13 74.53
With the nearest neighbours (Å) after each atom.
Sites, in units of the cell vectors:
Sr (0.0130, 0.9870, 0.7500)  8 Br 3.15-3.39
Sr (0.9870, 0.0130, 0.2500)  8 Br 3.15-3.39
Pt (0.0000, 0.5000, 0.0000)  6 Br 2.50-2.52
Pt (0.5000, 0.0000, 0.5000)  6 Br 2.50-2.52
Br (0.1461, 0.5544, 0.2030)  1 Pt 2.50
Br (0.1494, 0.2027, 0.4983)  1 Pt 2.52
Br (0.2027, 0.1494, 0.9983)  1 Pt 2.52
Br (0.2611, 0.6116, 0.8889)  1 Pt 2.51
Br (0.3884, 0.7389, 0.6111)  1 Pt 2.51
Br (0.4456, 0.8539, 0.2970)  1 Pt 2.50
Br (0.5544, 0.1461, 0.7030)  1 Pt 2.50
Br (0.6116, 0.2611, 0.3889)  1 Pt 2.51
Br (0.7389, 0.3884, 0.1111)  1 Pt 2.51
Br (0.7973, 0.8506, 0.0017)  1 Pt 2.52
Br (0.8506, 0.7973, 0.5017)  1 Pt 2.52
Br (0.8539, 0.4456, 0.7970)  1 Pt 2.50